[1]
# LiTbAlCo

A relaxed structure of LiTbAlCo (PBE, the Alexandria database).

Calculated values
**DFT formation energy**: -0.201 eV/atom
**Space-group type**: No. 216
**E**: -0.1672 Ha/atom

Cell and atoms, written as POSCAR:
```
LiTbAlCo
1.0
4.534 0.000 0.000
2.267 3.927 0.000
2.267 1.309 3.702
Co Al Li Tb
1 1 1 1
direct
0.750 0.750 0.750
0.000 0.000 0.000
0.250 0.250 0.250
0.500 0.500 0.500
```

=====

[2]
# Ba5Ca4Tl4

A relaxed structure of Ba5Ca4Tl4 (PBE, the Alexandria database).

Calculated values
**DFT formation energy**: -0.297 eV/atom
**Space-group type**: No. 87
**E**: -0.0875 Ha/atom

Cell and atoms, written as POSCAR:
```
Ba5Ca4Tl4
1.0
5.347 0.000 1.359
2.673 9.893 0.680
0.236 0.000 10.268
Tl Ca Ba
4 4 5
direct
0.064 0.192 0.680
0.256 0.680 0.808
0.936 0.808 0.320
0.744 0.320 0.192
0.110 0.474 0.306
0.416 0.694 0.474
0.890 0.526 0.694
0.584 0.306 0.526
0.373 0.326 0.928
0.301 0.072 0.326
0.000 0.000 0.000
0.627 0.674 0.072
0.699 0.928 0.674
```

=====

[3]
# MgMn2S4

A relaxed structure of MgMn2S4 (PBE, the Alexandria database).

Calculated values
**Formation energy from raw total energies**: -745 meV/atom
**Space-group type**: No. 227
**E**: -0.2187 Ha/atom
**ΔE to the lowest computed polymorph**: 14 meV per atom

Cell and atoms, written as POSCAR:
```
MgMn2S4
1.0
0.872 1.319 7.115
1.313 6.786 2.314
-5.122 3.649 3.685
Mn S Mg
4 8 2
direct
0.125 0.125 0.625
0.125 0.625 0.125
0.625 0.125 0.125
0.125 0.125 0.125
0.363 0.911 0.363
0.339 0.887 0.887
0.363 0.363 0.911
0.887 0.887 0.339
0.911 0.363 0.363
0.363 0.363 0.363
0.887 0.339 0.887
0.887 0.887 0.887
0.750 0.750 0.750
0.500 0.500 0.500
```

=====

[4]
# CeNd5Te6

A relaxed structure of CeNd5Te6 (PBE, the Alexandria database).

Calculated values
**Formation energy from raw total energies**: -1418 meV/atom
**Space-group type**: No. 12
**E**: -0.2010 Ha/atom

Cell and atoms, written as POSCAR:
```
CeNd5Te6
1.0
-6.620 3.944 1.209
-2.821 -1.768 7.033
2.109 4.200 6.207
Ce Nd Te
1 5 6
direct
0.000 0.000 0.000
0.000 0.332 0.336
0.500 0.500 0.000
0.000 0.668 0.664
0.500 0.171 0.658
0.500 0.829 0.342
0.751 0.414 0.669
0.751 0.083 0.331
0.249 0.586 0.331
0.249 0.917 0.669
0.251 0.248 0.000
0.749 0.752 0.000
```

=====

[5]
# KGaTeN2

A relaxed structure of KGaTeN2 (PBE, the Alexandria database).

Calculated values
**Formation energy from raw total energies**: 1884 meV/atom
**Space-group type**: No. 123
**E**: -0.1065 Ha/atom
**ΔE to the lowest computed polymorph**: 809 meV per atom

Cell and atoms, written as POSCAR:
```
KGaTeN2
1.0
4.984 0.000 0.000
0.000 4.984 0.000
0.000 0.000 6.886
Ga N K Te
1 2 1 1
direct
0.500 0.500 0.500
0.000 0.500 0.000
0.500 0.000 0.000
0.000 0.000 0.000
0.000 0.000 0.500
```

=====

[6]
# InRh4

A relaxed structure of InRh4 (PBE, the Alexandria database).

Calculated values
**DFT formation energy**: 1.079 eV/atom
**Space-group type**: No. 229
**E**: -0.1966 Ha/atom
**ΔE to the lowest computed polymorph**: 918 meV per atom

Cell and atoms, written as POSCAR:
```
InRh4
1.0
-0.854 -2.299 4.440
-1.770 4.750 0.187
-2.363 -2.540 -3.701
Rh In
4 1
direct
0.000 0.000 0.500
0.500 0.500 0.500
0.000 0.500 0.000
0.500 0.000 0.000
0.000 0.000 0.000
```

=====

Number 1: theoretical density 6.3 g cm⁻³. Number 2: theoretical density 5.1 g cm⁻³. Number 3: theoretical density 3.2 g cm⁻³. Number 4: theoretical density 7.0 g cm⁻³. Number 5: theoretical density 2.6 g cm⁻³. Number 6: theoretical density 8.7 g cm⁻³.